Entry 1:
A relaxed Tc3SnO crystal. Source: the Alexandria database, functional GGA-PBE.

Unit cell a=5.0926 b=5.0926 c=5.0926 alpha=90.00 beta=90.00 gamma=90.00
Closest atoms and distances in Å follow each position.
Space group Pm-3m (No. 221)
One atom of each set of equivalent atoms:
Tc1 0.0000 0.0000 0.5000  2 Sn 2.55
Sn1 0.0000 0.0000 0.0000  6 Tc 2.55
O1 0.5000 0.5000 0.5000  12 Tc 3.60

formation energy without anion corrections: 2610 meV/atom
distance to the lowest polymorph of the same formula: 2538.3 meV/atom

=====

Entry 2:
A relaxed Tc3SnO crystal. Source: the Alexandria database, functional GGA-PBE.

Unit cell a=4.1503 b=4.1503 c=4.1503 alpha=90.00 beta=90.00 gamma=90.00
Closest atoms and distances in Å follow each position.
Space group Pm-3m (No. 221)
One atom of each set of equivalent atoms:
Tc1 0.0000 0.0000 0.5000  2 O 2.08
Sn1 0.5000 0.5000 0.5000  12 Tc 2.93
O1 0.0000 0.0000 0.0000  6 Tc 2.08

formation energy without anion corrections: 72 meV/atom
distance to the lowest polymorph of the same formula: 0.0 meV/atom

=====

Entry 3:
A relaxed Tl2TcSnO6 crystal. Source: the Alexandria database, functional GGA-PBE.

Unit cell a=8.1469 b=8.1469 c=8.1469 alpha=90.00 beta=90.00 gamma=90.00
Closest atoms and distances in Å follow each position.
Space group Fm-3m (No. 225)
One atom of each set of equivalent atoms:
Tl1 0.2500 0.2500 0.2500  12 O 2.88
Tc1 0.0000 0.0000 0.0000  6 O 1.96
Sn1 0.0000 0.0000 0.5000  6 O 2.11
O1 0.0000 0.0000 0.2404  1 Tc 1.96, 1 Sn 2.11

formation energy without anion corrections: -1085 meV/atom

=====

Entry 4:
A relaxed Y2TcSnO crystal. Source: the Alexandria database, functional GGA-PBE.

Unit cell a=5.7018 b=5.7018 c=4.8945 alpha=90.00 beta=90.00 gamma=90.00
Closest atoms and distances in Å follow each position.
Space group P4/mmm (No. 123)
One atom of each set of equivalent atoms:
Y1 0.0000 0.5000 0.0000  2 Sn 2.85
Tc1 0.0000 0.0000 0.5000  2 Sn 2.45
Sn1 0.0000 0.0000 0.0000  2 Tc 2.45
O1 0.5000 0.5000 0.5000  8 Y 3.76, 4 Tc 4.03

formation energy without anion corrections: 974 meV/atom

=====

Entry 5:
A relaxed SnTe3O crystal. Source: the Alexandria database, functional GGA-PBE.

Unit cell a=5.6419 b=5.6419 c=5.6419 alpha=90.00 beta=90.00 gamma=90.00
Closest atoms and distances in Å follow each position.
Space group Pm-3m (No. 221)
One atom of each set of equivalent atoms:
Sn1 0.0000 0.0000 0.0000  6 Te 2.82
Te1 0.0000 0.0000 0.5000  2 Sn 2.82
O1 0.5000 0.5000 0.5000  12 Te 3.99

formation energy without anion corrections: 1130 meV/atom
distance to the lowest polymorph of the same formula: 1110.2 meV/atom

=====

Entry 6:
A relaxed Sn2TeO crystal. Source: the Alexandria database, functional GGA-PBE.

Unit cell a=6.8054 b=6.0893 c=12.9112 alpha=90.00 beta=111.50 gamma=90.00
Closest atoms and distances in Å follow each position.
Space group P2/c (No. 13)
One atom of each set of equivalent atoms:
Sn1 0.0294 0.2100 0.3825  1 O 2.14
Sn2 0.4352 0.2346 0.9249  2 O 2.13-2.20
Te1 0.1679 0.2467 0.6332  3 Sn 3.03-3.06
O1 0.3456 0.1024 0.4156  3 Sn 2.13-2.20

formation energy without anion corrections: -661 meV/atom
distance to the lowest polymorph of the same formula: 0.0 meV/atom

=====

Entry 7:
A relaxed Sn2TeO crystal. Source: the Alexandria database, functional GGA-PBE.

Unit cell a=5.8614 b=5.8614 c=13.5356 alpha=90.00 beta=90.00 gamma=90.00
Closest atoms and distances in Å follow each position.
Space group I-42d (No. 122)
One atom of each set of equivalent atoms:
Sn1 0.1306 0.2500 0.1250  2 O 2.37
Te1 0.0000 0.0000 0.5000  4 Sn 3.11
O1 0.0000 0.0000 0.0000  4 Sn 2.37

formation energy without anion corrections: -449 meV/atom
distance to the lowest polymorph of the same formula: 211.2 meV/atom

=====

Entry 8:
A relaxed SnTeO2 crystal. Source: the Alexandria database, functional GGA-PBE.

Unit cell a=6.2781 b=6.2781 c=6.2781 alpha=90.00 beta=90.00 gamma=90.00
Closest atoms and distances in Å follow each position.
Space group Fm-3m (No. 225)
One atom of each set of equivalent atoms:
Sn1 0.0000 0.0000 0.0000  8 O 2.72
Te1 0.0000 0.0000 0.5000  8 O 2.72
O1 0.2500 0.2500 0.2500  4 Sn 2.72, 4 Te 2.72

formation energy without anion corrections: 25 meV/atom
distance to the lowest polymorph of the same formula: 998.8 meV/atom

=====

Entry 9:
A relaxed Sn3Te2O crystal. Source: the Alexandria database, functional GGA-PBE.

Unit cell a=6.9189 b=13.8772 c=7.9374 alpha=90.00 beta=112.75 gamma=90.00
Closest atoms and distances in Å follow each position.
Space group C2/c (No. 15)
One atom of each set of equivalent atoms:
Sn1 0.1730 0.0862 0.0883  1 O 2.20
Sn2 0.2500 0.2500 0.5000  2 O 2.56
Te1 0.0000 0.2580 0.7500  4 Sn 3.03-3.10
Te2 0.0000 0.4260 0.2500  4 Sn 3.08-3.20
O1 0.0000 0.1407 0.2500  2 Sn 2.20

formation energy without anion corrections: -443 meV/atom

=====

Entry 10:
A relaxed SnTe3O crystal. Source: the Alexandria database, functional GGA-PBE.

Unit cell a=4.9352 b=4.9352 c=4.9352 alpha=90.00 beta=90.00 gamma=90.00
Closest atoms and distances in Å follow each position.
Space group Pm-3m (No. 221)
One atom of each set of equivalent atoms:
Sn1 0.0000 0.0000 0.0000  12 Te 3.49
Te1 0.0000 0.5000 0.5000  2 O 2.47
O1 0.5000 0.5000 0.5000  6 Te 2.47

formation energy without anion corrections: 20 meV/atom
distance to the lowest polymorph of the same formula: 0.0 meV/atom

=====

Entry 11:
A relaxed SnTeO2 crystal. Source: the Alexandria database, functional GGA-PBE.

Unit cell a=3.1912 b=3.1912 c=26.8909 alpha=90.00 beta=90.00 gamma=120.00
Closest atoms and distances in Å follow each position.
Space group R-3m (No. 166, hexagonal axes)
One atom of each set of equivalent atoms:
Sn1 0.0000 0.0000 0.0000  6 O 2.11
Te1 0.0000 0.0000 0.5000  6 Te 3.19, 2 O 3.45
O1 0.0000 0.0000 0.3716  3 Sn 2.11

formation energy without anion corrections: -974 meV/atom
distance to the lowest polymorph of the same formula: 0.0 meV/atom

=====

Entry 12:
A relaxed SnTeO2 crystal. Source: the Alexandria database, functional GGA-PBE.

Unit cell a=3.5417 b=3.5417 c=20.4449 alpha=90.00 beta=90.00 gamma=120.00
Closest atoms and distances in Å follow each position.
Space group R-3m (No. 166, hexagonal axes)
One atom of each set of equivalent atoms:
Sn1 0.0000 0.0000 0.0000  2 O 2.38
Te1 0.0000 0.0000 0.5000  6 O 2.29
O1 0.0000 0.0000 0.1166  3 Te 2.29, 1 Sn 2.38

formation energy without anion corrections: -478 meV/atom
distance to the lowest polymorph of the same formula: 495.7 meV/atom

=====

Entry 13:
A relaxed SnTeO2 crystal. Source: the Alexandria database, functional GGA-PBE.

Unit cell a=6.0357 b=6.0357 c=8.9082 alpha=90.00 beta=90.00 gamma=90.00
Closest atoms and distances in Å follow each position.
Space group I-42d (No. 122)
One atom of each set of equivalent atoms:
Sn1 0.0000 0.0000 0.0000  4 O 1.98
Te1 0.0000 0.0000 0.5000  4 O 3.02
O1 0.1077 0.2500 0.1250  2 Sn 1.98

formation energy without anion corrections: -585 meV/atom
distance to the lowest polymorph of the same formula: 389.0 meV/atom

=====

Entry 14:
A relaxed Sn2TeO crystal. Source: the Alexandria database, functional GGA-PBE.

Unit cell a=7.1627 b=7.1627 c=7.1627 alpha=90.00 beta=90.00 gamma=90.00
Closest atoms and distances in Å follow each position.
Space group Fm-3m (No. 225)
One atom of each set of equivalent atoms:
Sn1 0.2500 0.2500 0.2500  4 O 3.10, 4 Te 3.10
Te1 0.0000 0.0000 0.0000  8 Sn 3.10
O1 0.0000 0.0000 0.5000  8 Sn 3.10

formation energy without anion corrections: 28 meV/atom
distance to the lowest polymorph of the same formula: 689.0 meV/atom

=====

Entry 15:
A relaxed TlSnTeO6 crystal. Source: the Alexandria database, functional GGA-PBE.

Unit cell a=5.4294 b=5.4294 c=5.2263 alpha=90.00 beta=90.00 gamma=120.00
Closest atoms and distances in Å follow each position.
Space group P312 (No. 149)
One atom of each set of equivalent atoms:
Tl1 0.0000 0.0000 0.0000  6 O 2.53
Sn1 0.3333 0.6667 0.5000  6 O 2.10
Te1 0.6667 0.3333 0.5000  6 O 1.98
O1 0.3815 0.0174 0.7112  1 Te 1.98, 1 Sn 2.10

formation energy without anion corrections: -1106 meV/atom

=====

Entry 16:
A relaxed TlSnTe2O8 crystal. Source: the Alexandria database, functional GGA-PBE.

Unit cell a=5.4182 b=5.4182 c=27.0850 alpha=90.00 beta=90.00 gamma=120.00
Closest atoms and distances in Å follow each position.
Space group R-3 (No. 148, hexagonal axes)
One atom of each set of equivalent atoms:
Tl1 0.0000 0.0000 0.0000  6 O 3.24
Sn1 0.0000 0.0000 0.5000  6 O 2.10
Te1 0.0000 0.0000 0.2350  4 O 1.84-1.90
O1 0.0000 0.0000 0.3028  1 Te 1.84
O2 0.0126 0.6499 0.1207  1 Te 1.90, 1 Sn 2.10

formation energy without anion corrections: -910 meV/atom

=====

Entry 17:
A relaxed Tl2SnTeO6 crystal. Source: the Alexandria database, functional GGA-PBE.

Unit cell a=5.8442 b=5.8442 c=8.2474 alpha=90.00 beta=90.00 gamma=90.00
Closest atoms and distances in Å follow each position.
Space group I4/mmm (No. 139)
One atom of each set of equivalent atoms:
Tl1 0.0000 0.5000 0.2500  12 O 2.92
Sn1 0.0000 0.0000 0.0000  6 O 2.13
Te1 0.0000 0.0000 0.5000  6 O 2.00
O1 0.0000 0.0000 0.2580  1 Te 2.00, 1 Sn 2.13
O2 0.2419 0.2419 0.5000  1 Te 2.00, 1 Sn 2.13

formation energy without anion corrections: -926 meV/atom

=====

Entry 18:
A relaxed YSnTe2O crystal. Source: the Alexandria database, functional GGA-PBE.

Unit cell a=6.1182 b=6.1182 c=4.1136 alpha=90.00 beta=90.00 gamma=90.00
Closest atoms and distances in Å follow each position.
Space group P4/mmm (No. 123)
One atom of each set of equivalent atoms:
Y1 0.0000 0.0000 0.0000  2 O 2.06
Sn1 0.5000 0.5000 0.5000  8 Te 3.69, 2 Sn 4.11
Te1 0.0000 0.5000 0.0000  2 Y 3.06
O1 0.0000 0.0000 0.5000  2 Y 2.06

formation energy without anion corrections: -903 meV/atom

=====

Entry 19:
A relaxed ZnSnTeO2 crystal. Source: the Alexandria database, functional GGA-PBE.

Unit cell a=4.1627 b=4.1627 c=5.2491 alpha=90.00 beta=90.00 gamma=90.00
Closest atoms and distances in Å follow each position.
Space group P4/mmm (No. 123)
One atom of each set of equivalent atoms:
Zn1 0.0000 0.0000 0.0000  4 O 2.08
Sn1 0.5000 0.5000 0.5000  4 Te 2.94
Te1 0.0000 0.0000 0.5000  2 Zn 2.62
O1 0.0000 0.5000 0.0000  2 Zn 2.08

formation energy without anion corrections: -32 meV/atom

=====

Entry 20:
A relaxed Zn2SnTeO8 crystal. Source: the Alexandria database, functional GGA-PBE.

Unit cell a=6.4645 b=6.4645 c=6.9406 alpha=90.00 beta=90.00 gamma=90.00
Closest atoms and distances in Å follow each position.
Space group I-4m2 (No. 119)
One atom of each set of equivalent atoms:
Zn1 0.0000 0.0000 0.0000  4 O 1.92
Zn2 0.0000 0.5000 0.2500  4 O 1.91
Sn1 0.0000 0.0000 0.5000  4 O 2.06
Te1 0.0000 0.5000 0.7500  4 O 1.96
O1 0.0000 0.2004 0.7957  1 Zn 1.92, 1 Te 1.96
O2 0.0000 0.3169 0.4669  1 Zn 1.91, 1 Sn 2.06

formation energy without anion corrections: -820 meV/atom

=====

no.,total moment (μB/f.u.)
1,10.541
2,0.807
3,0.979
4,2.468
5,0.000
6,0.000
7,0.000
8,0.000
9,0.000
10,0.000
11,0.000
12,0.000
13,0.000
14,0.000
15,0.000
16,0.000
17,0.000
18,0.000
19,0.000
20,1.950